Material: Al2ReP
Method: DFT, GGA-PBE
State: relaxed

Properties
Energy relative to the elements = 0.00 eV/atom

Structure (CIF):
```
data_Al2ReP
_chemical_formula_sum 'Al4 Re2 P2'
_cell_length_a 3.0959
_cell_length_b 4.4950
_cell_length_c 8.4795
_cell_angle_alpha 90.00
_cell_angle_beta 90.00
_cell_angle_gamma 90.00
_symmetry_space_group_name_H-M 'I m m 2'
_symmetry_Int_Tables_number 44
_symmetry_space_group_name_Hall 'I 2 -2'
loop_
_atom_site_label
_atom_site_type_symbol
_atom_site_fract_x
_atom_site_fract_y
_atom_site_fract_z
Al1 Al 0.0000 0.0000 0.0000
Al2 Al 0.0000 0.5000 0.2280
Re1 Re 0.0000 0.0000 0.4568
P1 P 0.0000 0.5000 0.7440
```

Material: AlReP2
Method: DFT, GGA-PBE
State: relaxed

Properties
Energy relative to the elements = -0.03 eV/atom

Structure (CIF):
```
data_AlReP2
_chemical_formula_sum 'Al3 Re3 P6'
_cell_length_a 3.1491
_cell_length_b 3.1491
_cell_length_c 20.8139
_cell_angle_alpha 90.00
_cell_angle_beta 90.00
_cell_angle_gamma 120.00
_symmetry_space_group_name_H-M 'R -3 m'
_symmetry_Int_Tables_number 166
_symmetry_space_group_name_Hall '-R 3 2"'
loop_
_atom_site_label
_atom_site_type_symbol
_atom_site_fract_x
_atom_site_fract_y
_atom_site_fract_z
Al1 Al 0.0000 0.0000 0.0000
Re1 Re 0.0000 0.0000 0.5000
P1 P 0.0000 0.0000 0.2471
```

Material: Al2ReP
Method: DFT, GGA-PBE
State: relaxed

Properties
Energy relative to the elements = 0.03 eV/atom

Structure (CIF):
```
data_Al2ReP
_chemical_formula_sum 'Al2 Re1 P1'
_cell_length_a 4.2881
_cell_length_b 4.2881
_cell_length_c 3.1365
_cell_angle_alpha 90.00
_cell_angle_beta 90.00
_cell_angle_gamma 90.00
_symmetry_space_group_name_H-M 'P 4/m m m'
_symmetry_Int_Tables_number 123
_symmetry_space_group_name_Hall '-P 4 2'
loop_
_atom_site_label
_atom_site_type_symbol
_atom_site_fract_x
_atom_site_fract_y
_atom_site_fract_z
Al1 Al 0.0000 0.5000 0.0000
Re1 Re 0.0000 0.0000 0.5000
P1 P 0.5000 0.5000 0.5000
```

Material: AlRePS2
Method: DFT, GGA-PBE
State: relaxed

Properties
E_form (uncorrected) = 0.450 eV per atom

Structure (CIF):
```
data_AlRePS2
_chemical_formula_sum 'Al1 Re1 P1 S2'
_cell_length_a 4.7039
_cell_length_b 4.7039
_cell_length_c 4.6335
_cell_angle_alpha 90.00
_cell_angle_beta 90.00
_cell_angle_gamma 90.00
_symmetry_space_group_name_H-M 'P 4/m m m'
_symmetry_Int_Tables_number 123
_symmetry_space_group_name_Hall '-P 4 2'
loop_
_atom_site_label
_atom_site_type_symbol
_atom_site_fract_x
_atom_site_fract_y
_atom_site_fract_z
Al1 Al 0.0000 0.0000 0.0000
Re1 Re 0.5000 0.5000 0.5000
P1 P 0.5000 0.5000 0.0000
S1 S 0.0000 0.5000 0.5000
```

Material: AlRePS2
Method: DFT, GGA-PBE
State: relaxed

Properties
E_form (uncorrected) = 1.057 eV per atom

Structure (CIF):
```
data_AlRePS2
_chemical_formula_sum 'Al1 Re1 P1 S2'
_cell_length_a 4.4943
_cell_length_b 4.4943
_cell_length_c 4.6455
_cell_angle_alpha 90.00
_cell_angle_beta 90.00
_cell_angle_gamma 90.00
_symmetry_space_group_name_H-M 'P 4/m m m'
_symmetry_Int_Tables_number 123
_symmetry_space_group_name_Hall '-P 4 2'
loop_
_atom_site_label
_atom_site_type_symbol
_atom_site_fract_x
_atom_site_fract_y
_atom_site_fract_z
Al1 Al 0.0000 0.0000 0.0000
Re1 Re 0.5000 0.5000 0.5000
P1 P 0.0000 0.0000 0.5000
S1 S 0.0000 0.5000 0.0000
```

Material: Sc2AlReP
Method: DFT, GGA-PBE
State: relaxed

Properties
Energy relative to the elements = 1.09 eV/atom

Structure (CIF):
```
data_Sc2AlReP
_chemical_formula_sum 'Sc2 Al1 Re1 P1'
_cell_length_a 5.0142
_cell_length_b 5.0142
_cell_length_c 4.2246
_cell_angle_alpha 90.00
_cell_angle_beta 90.00
_cell_angle_gamma 90.00
_symmetry_space_group_name_H-M 'P 4/m m m'
_symmetry_Int_Tables_number 123
_symmetry_space_group_name_Hall '-P 4 2'
loop_
_atom_site_label
_atom_site_type_symbol
_atom_site_fract_x
_atom_site_fract_y
_atom_site_fract_z
Sc1 Sc 0.0000 0.5000 0.0000
Al1 Al 0.0000 0.0000 0.0000
Re1 Re 0.5000 0.5000 0.5000
P1 P 0.0000 0.0000 0.5000
```

Material: AlRe2TcP
Method: DFT, GGA-PBE
State: relaxed

Properties
Energy relative to the elements = 0.61 eV/atom

Structure (CIF):
```
data_AlRe2TcP
_chemical_formula_sum 'Al1 Re2 Tc1 P1'
_cell_length_a 4.3718
_cell_length_b 4.3718
_cell_length_c 4.3454
_cell_angle_alpha 90.00
_cell_angle_beta 90.00
_cell_angle_gamma 90.00
_symmetry_space_group_name_H-M 'P 4/m m m'
_symmetry_Int_Tables_number 123
_symmetry_space_group_name_Hall '-P 4 2'
loop_
_atom_site_label
_atom_site_type_symbol
_atom_site_fract_x
_atom_site_fract_y
_atom_site_fract_z
Al1 Al 0.0000 0.0000 0.0000
Re1 Re 0.0000 0.5000 0.5000
Tc1 Tc 0.5000 0.5000 0.0000
P1 P 0.5000 0.5000 0.5000
```

Material: AlPRh
Method: DFT, GGA-PBE
State: relaxed

Properties
Energy relative to the elements = -0.22 eV/atom

Structure (CIF):
```
data_AlPRh
_chemical_formula_sum 'Al3 P3 Rh3'
_cell_length_a 6.7966
_cell_length_b 6.7966
_cell_length_c 3.2005
_cell_angle_alpha 90.00
_cell_angle_beta 90.00
_cell_angle_gamma 120.00
_symmetry_space_group_name_H-M 'P -6 2 m'
_symmetry_Int_Tables_number 189
_symmetry_space_group_name_Hall 'P -6 -2'
loop_
_atom_site_label
_atom_site_type_symbol
_atom_site_fract_x
_atom_site_fract_y
_atom_site_fract_z
Al1 Al 0.0000 0.7223 0.0000
P1 P 0.0000 0.0000 0.5000
P2 P 0.3333 0.6667 0.0000
Rh1 Rh 0.0000 0.3882 0.5000
```

Table of total DFT energy (no corrections) (eV per atom), in record order: -6.34, -6.79, -6.31, -5.52, -4.91, -5.76, -8.28, -5.72